Record 1
20
Lattice="8.540 0.000 0.000 0.000 5.032 0.000 -3.383 0.000 10.125" Properties=species:S:1:pos:R:3 comment="Pu6GePt3 GGA-PBE optimized geometry" spacegroup=P2_1/m delta_e_f_ev_per_atom=-0.51 polymorph_energy_mev_per_atom=0 pbc="T T T"
Pu -1.023 1.258 4.121
Pu 0.524 3.774 1.833
Pu -1.174 1.258 10.056
Pu 0.242 3.774 8.019
Pu 2.340 1.258 2.486
Pu 1.610 1.258 6.012
Pu 3.547 3.774 4.114
Pu 2.817 3.774 7.639
Pu 4.915 1.258 2.106
Pu 6.331 3.774 0.070
Pu 4.633 1.258 8.293
Pu 6.180 3.774 6.004
Ge 3.410 3.774 1.097
Ge 1.747 1.258 9.028
Pt -2.654 3.774 8.944
Pt -1.174 1.258 7.106
Pt 0.750 3.774 4.807
Pt 4.407 1.258 5.318
Pt 6.331 3.774 3.019
Pt 7.811 1.258 1.181


Record 2
5
Lattice="4.088 0.000 0.000 0.000 4.088 0.000 0.000 0.000 3.646" Properties=species:S:1:pos:R:3 comment="TaCuTc2H GGA-PBE optimized geometry" spacegroup=P4/mmm polymorph_energy_mev_per_atom=0 pbc="T T T"
Ta 0.000 0.000 0.000
Cu 2.044 2.044 0.000
Tc 0.000 2.044 1.823
Tc 2.044 0.000 1.823
H 2.044 2.044 1.823


Record 3
4
Lattice="3.135 0.000 0.000 0.000 3.135 0.000 0.000 0.000 5.331" Properties=species:S:1:pos:R:3 comment="BeAl2Os GGA-PBE optimized geometry" spacegroup=P4/mmm delta_e_f_ev_per_atom=-0.27 pbc="T T T"
Be 0.000 0.000 0.000
Al 1.568 1.568 1.316
Al 1.568 1.568 4.015
Os 0.000 0.000 2.665


Record 4
7
Lattice="5.150 -2.171 0.000 5.150 2.171 0.000 -2.040 0.000 6.404" Properties=species:S:1:pos:R:3 comment="Sm2Ge3Pt2 GGA-PBE optimized geometry" spacegroup=C2/m delta_e_f_ev_per_atom=-0.82 polymorph_energy_mev_per_atom=88 pbc="T T T"
Sm 0.929 0.000 1.864
Sm 7.332 0.000 4.540
Ge 3.893 0.000 0.379
Ge 4.130 0.000 3.202
Ge 4.368 0.000 6.026
Pt 0.030 0.000 4.900
Pt 8.230 0.000 1.504


| no. | Fermi-level density of states (states/eV/cell) | raw total energy (eV/cell) |
| --- | --- | --- |
| 1 | 79.705 | -227.71 |
| 2 | 3.530 | -40.13 |
| 3 | 1.443 | -23.51 |
| 4 | 3.919 | -41.10 |